# 1
NdDyY | GGA-PBE | optimized geometry

crystal system = cubic
theoretical density = 5.64 g cm⁻³
energy of formation from the pure elements = 16.4 kcal/mol of atoms

Cell lengths 5.483, 5.483, 5.483 Å; angles 60.00, 60.00, 60.00 degrees
Element x y z (fractional)
1 Nd 0.000 0.000 0.000
2 Dy 0.250 0.250 0.250
3 Y 0.500 0.500 0.500



# 2
TbSiO3 | GGA-PBE | optimized geometry

crystal system = orthorhombic
raw total energy = -147.519 eV/cell
theoretical density = 7.85 g cm⁻³

Cell lengths 5.203, 7.335, 5.209 Å; angles 90.00, 90.00, 90.00 degrees
Element x y z (fractional)
1 Tb 0.000 0.250 0.000
2 Tb 0.000 0.750 0.000
3 Tb 0.500 0.250 0.500
4 Tb 0.500 0.750 0.500
5 Si 0.000 0.000 0.500
6 Si 0.000 0.500 0.500
7 Si 0.500 0.000 0.000
8 Si 0.500 0.500 0.000
9 O 0.000 0.250 0.499
10 O 0.000 0.750 0.501
11 O 0.249 0.000 0.249
12 O 0.249 0.500 0.249
13 O 0.251 0.000 0.749
14 O 0.251 0.500 0.749
15 O 0.500 0.250 0.001
16 O 0.500 0.750 0.999
17 O 0.749 0.000 0.251
18 O 0.749 0.500 0.251
19 O 0.751 0.000 0.751
20 O 0.751 0.500 0.751



# 3
K2ReGeO6 | GGA-PBE | optimized geometry

crystal system = trigonal
raw total energy = -65.607 eV/cell
theoretical density = 5.11 g cm⁻³

Cell lengths 6.584, 6.584, 6.584 Å; angles 47.22, 47.22, 47.22 degrees
Element x y z (fractional)
1 K 0.000 0.000 0.000
2 K 0.273 0.273 0.273
3 Re 0.473 0.473 0.473
4 Ge 0.800 0.800 0.800
5 O 0.076 0.497 0.644
6 O 0.199 0.775 0.630
7 O 0.497 0.644 0.076
8 O 0.630 0.199 0.775
9 O 0.644 0.076 0.497
10 O 0.775 0.630 0.199



# 4
NbTlTe2AuSe | GGA-PBE | optimized geometry

crystal system = orthorhombic
raw total energy = -53.734 eV/cell
theoretical density = 8.71 g cm⁻³

Cell lengths 8.083, 8.083, 10.367 Å; angles 90.00, 90.00, 152.20 degrees
Element x y z (fractional)
1 Nb 0.000 0.000 0.000
2 Nb 0.000 0.000 0.500
3 Tl 0.247 0.753 0.750
4 Tl 0.753 0.247 0.250
5 Te 0.366 0.634 0.032
6 Te 0.366 0.634 0.468
7 Te 0.634 0.366 0.532
8 Te 0.634 0.366 0.968
9 Au 0.459 0.541 0.250
10 Au 0.541 0.459 0.750
11 Se 0.071 0.929 0.250
12 Se 0.929 0.071 0.750



# 5
NbS2Br2 | GGA-PBE | optimized geometry

crystal system = monoclinic
raw total energy = -51.705 eV/cell
theoretical density = 4.06 g cm⁻³

Cell lengths 6.637, 6.637, 7.176 Å; angles 99.83, 99.83, 119.38 degrees
Element x y z (fractional)
1 Nb 0.126 0.874 0.000
2 Nb 0.874 0.126 0.000
3 S 0.135 0.135 0.302
4 S 0.321 0.321 0.131
5 S 0.679 0.679 0.869
6 S 0.865 0.865 0.698
7 Br 0.026 0.434 0.771
8 Br 0.434 0.026 0.771
9 Br 0.566 0.974 0.229
10 Br 0.974 0.566 0.229



# 6
Sc3AgP | GGA-PBE | optimized geometry

crystal system = triclinic
raw total energy = -60.280 eV/cell
theoretical density = 4.04 g cm⁻³

Cell lengths 6.711, 6.793, 6.855 Å; angles 91.07, 118.92, 119.22 degrees
Element x y z (fractional)
1 Sc 0.003 0.197 0.165
2 Sc 0.370 0.634 0.738
3 Sc 0.469 0.172 0.673
4 Sc 0.531 0.828 0.327
5 Sc 0.630 0.366 0.262
6 Sc 0.997 0.803 0.835
7 Ag 0.024 0.773 0.257
8 Ag 0.976 0.227 0.743
9 P 0.500 0.000 0.000
10 P 0.500 0.500 0.500



# 7
B4PbAu | GGA-PBE | optimized geometry

crystal system = hexagonal
raw total energy = -29.716 eV/cell
theoretical density = 10.02 g cm⁻³

Cell lengths 3.097, 3.097, 8.924 Å; angles 90.00, 90.00, 120.00 degrees
Element x y z (fractional)
1 B 0.333 0.667 0.220
2 B 0.333 0.667 0.780
3 B 0.667 0.333 0.220
4 B 0.667 0.333 0.780
5 Pb 0.000 0.000 0.500
6 Au 0.000 0.000 0.000



# 8
InSiAgO3 | GGA-PBE | optimized geometry

crystal system = orthorhombic
raw total energy = -139.723 eV/cell
theoretical density = 6.87 g cm⁻³

Cell lengths 9.917, 2.900, 10.049 Å; angles 90.00, 90.00, 90.00 degrees
Element x y z (fractional)
1 In 0.205 0.250 0.128
2 In 0.295 0.750 0.628
3 In 0.705 0.250 0.372
4 In 0.795 0.750 0.872
5 Si 0.024 0.750 0.382
6 Si 0.476 0.250 0.882
7 Si 0.524 0.750 0.118
8 Si 0.976 0.250 0.618
9 Ag 0.100 0.750 0.921
10 Ag 0.400 0.250 0.421
11 Ag 0.600 0.750 0.579
12 Ag 0.900 0.250 0.079
13 O 0.068 0.750 0.694
14 O 0.093 0.250 0.483
15 O 0.159 0.750 0.282
16 O 0.341 0.250 0.782
17 O 0.407 0.750 0.983
18 O 0.432 0.250 0.194
19 O 0.568 0.750 0.806
20 O 0.593 0.250 0.017
21 O 0.659 0.750 0.218
22 O 0.841 0.250 0.718
23 O 0.907 0.750 0.517
24 O 0.932 0.250 0.306



# 9
DySnAuSe3 | GGA-PBE | optimized geometry

crystal system = orthorhombic
raw total energy = -55.064 eV/cell
theoretical density = 8.04 g cm⁻³

Cell lengths 7.167, 7.167, 10.597 Å; angles 90.00, 90.00, 147.15 degrees
Element x y z (fractional)
1 Dy 0.000 0.000 0.000
2 Dy 0.000 0.000 0.500
3 Sn 0.231 0.769 0.750
4 Sn 0.769 0.231 0.250
5 Au 0.467 0.533 0.250
6 Au 0.533 0.467 0.750
7 Se 0.095 0.905 0.250
8 Se 0.353 0.647 0.052
9 Se 0.353 0.647 0.448
10 Se 0.647 0.353 0.552
11 Se 0.647 0.353 0.948
12 Se 0.905 0.095 0.750



# 10
HoTmPd | GGA-PBE | optimized geometry

crystal system = cubic
theoretical density = 9.22 g cm⁻³
energy of formation from the pure elements = -11.8 kcal/mol of atoms

Cell lengths 4.822, 4.822, 4.822 Å; angles 60.00, 60.00, 60.00 degrees
Element x y z (fractional)
1 Ho 0.000 0.000 0.000
2 Tm 0.500 0.500 0.500
3 Pd 0.250 0.250 0.250



# 11
LuBPb | GGA-PBE | optimized geometry

crystal system = cubic
raw total energy = -12.242 eV/cell
theoretical density = 9.06 g cm⁻³

Cell lengths 4.671, 4.671, 4.671 Å; angles 60.00, 60.00, 60.00 degrees
Element x y z (fractional)
1 Lu 0.000 0.000 0.000
2 B 0.750 0.750 0.750
3 Pb 0.250 0.250 0.250



# 12
Ho3In3PdPt2 | GGA-PBE | optimized geometry

crystal system = hexagonal
raw total energy = -47.878 eV/cell
theoretical density = 11.33 g cm⁻³

Cell lengths 7.709, 7.709, 3.805 Å; angles 90.00, 90.00, 120.00 degrees
Element x y z (fractional)
1 Ho 0.000 0.591 0.000
2 Ho 0.409 0.409 0.000
3 Ho 0.591 0.000 0.000
4 In 0.000 0.261 0.500
5 In 0.261 0.000 0.500
6 In 0.739 0.739 0.500
7 Pd 0.000 0.000 0.000
8 Pt 0.333 0.667 0.500
9 Pt 0.667 0.333 0.500



# 13
KZrSiSe3 | GGA-PBE | optimized geometry

crystal system = orthorhombic
raw total energy = -59.420 eV/cell
theoretical density = 4.01 g cm⁻³

Cell lengths 7.369, 7.369, 10.609 Å; angles 90.00, 90.00, 145.40 degrees
Element x y z (fractional)
1 K 0.242 0.758 0.750
2 K 0.758 0.242 0.250
3 Zr 0.500 0.500 0.000
4 Zr 0.500 0.500 0.500
5 Si 0.032 0.968 0.250
6 Si 0.968 0.032 0.750
7 Se 0.125 0.875 0.057
8 Se 0.125 0.875 0.443
9 Se 0.452 0.548 0.250
10 Se 0.548 0.452 0.750
11 Se 0.875 0.125 0.557
12 Se 0.875 0.125 0.943



# 14
Sr2ZnIrO6 | GGA-PBE | optimized geometry

crystal system = trigonal
raw total energy = -118.589 eV/cell
theoretical density = 6.43 g cm⁻³

Cell lengths 5.489, 5.489, 10.467 Å; angles 90.00, 90.00, 120.00 degrees
Element x y z (fractional)
1 Sr 0.333 0.667 0.050
2 Sr 0.333 0.667 0.450
3 Sr 0.667 0.333 0.550
4 Sr 0.667 0.333 0.950
5 Zn 0.333 0.667 0.750
6 Zn 0.667 0.333 0.250
7 Ir 0.000 0.000 0.250
8 Ir 0.000 0.000 0.750
9 O 0.052 0.315 0.859
10 O 0.052 0.737 0.641
11 O 0.263 0.315 0.641
12 O 0.263 0.948 0.859
13 O 0.315 0.052 0.359
14 O 0.315 0.263 0.141
15 O 0.685 0.737 0.859
16 O 0.685 0.948 0.641
17 O 0.737 0.052 0.141
18 O 0.737 0.685 0.359
19 O 0.948 0.263 0.359
20 O 0.948 0.685 0.141



# 15
GdErW | GGA-PBE | optimized geometry

crystal system = cubic
theoretical density = 10.19 g cm⁻³
energy of formation from the pure elements = 33.7 kcal/mol of atoms

Cell lengths 4.892, 4.892, 4.892 Å; angles 60.00, 60.00, 60.00 degrees
Element x y z (fractional)
1 Gd 0.000 0.000 0.000
2 Er 0.750 0.750 0.750
3 W 0.250 0.250 0.250



# 16
ErAl2Ag2 | GGA-PBE | optimized geometry

crystal system = tetragonal
raw total energy = -19.048 eV/cell
theoretical density = 7.33 g cm⁻³

Cell lengths 6.533, 6.533, 6.533 Å; angles 143.29, 143.29, 52.89 degrees
Element x y z (fractional)
1 Er 0.000 0.000 0.000
2 Al 0.250 0.750 0.500
3 Al 0.750 0.250 0.500
4 Ag 0.387 0.387 0.000
5 Ag 0.613 0.613 0.000



# 17
Re12W17 | GGA-PBE | optimized geometry

crystal system = cubic
theoretical density = 19.29 g cm⁻³
energy of formation from the pure elements = 1.3 kcal/mol of atoms

Cell lengths 8.431, 8.431, 8.431 Å; angles 109.47, 109.47, 109.47 degrees
Element x y z (fractional)
1 Re 0.000 0.192 0.375
2 Re 0.000 0.375 0.192
3 Re 0.183 0.808 0.808
4 Re 0.192 0.000 0.375
5 Re 0.192 0.375 0.000
6 Re 0.375 0.000 0.192
7 Re 0.375 0.192 0.000
8 Re 0.625 0.625 0.817
9 Re 0.625 0.817 0.625
10 Re 0.808 0.183 0.808
11 Re 0.808 0.808 0.183
12 Re 0.817 0.625 0.625
13 W 0.000 0.000 0.000
14 W 0.000 0.000 0.646
15 W 0.000 0.403 0.685
16 W 0.000 0.646 0.000
17 W 0.000 0.685 0.403
18 W 0.282 0.597 0.597
19 W 0.315 0.315 0.718
20 W 0.315 0.718 0.315
21 W 0.354 0.354 0.354
22 W 0.403 0.000 0.685
23 W 0.403 0.685 0.000
24 W 0.597 0.282 0.597
25 W 0.597 0.597 0.282
26 W 0.646 0.000 0.000
27 W 0.685 0.000 0.403
28 W 0.685 0.403 0.000
29 W 0.718 0.315 0.315



# 18
GdHgSO | GGA-PBE | optimized geometry

crystal system = monoclinic
raw total energy = -83.660 eV/cell
theoretical density = 7.89 g cm⁻³

Cell lengths 6.977, 7.314, 6.700 Å; angles 90.00, 92.52, 90.00 degrees
Element x y z (fractional)
1 Gd 0.024 0.138 0.293
2 Gd 0.024 0.362 0.793
3 Gd 0.976 0.638 0.207
4 Gd 0.976 0.862 0.707
5 Hg 0.489 0.684 0.995
6 Hg 0.489 0.816 0.495
7 Hg 0.511 0.184 0.505
8 Hg 0.511 0.316 0.005
9 S 0.254 0.068 0.946
10 S 0.254 0.432 0.446
11 S 0.746 0.568 0.554
12 S 0.746 0.932 0.054
13 O 0.100 0.646 0.910
14 O 0.100 0.854 0.410
15 O 0.900 0.146 0.590
16 O 0.900 0.354 0.090



# 19
Sc2CuTc | GGA-PBE | optimized geometry

crystal system = orthorhombic
theoretical density = 6.20 g cm⁻³
energy of formation from the pure elements = -3.9 kcal/mol of atoms

Cell lengths 4.994, 4.994, 5.502 Å; angles 90.00, 90.00, 78.85 degrees
Element x y z (fractional)
1 Sc 0.025 0.359 0.250
2 Sc 0.359 0.025 0.750
3 Sc 0.641 0.975 0.250
4 Sc 0.975 0.641 0.750
5 Cu 0.500 0.500 0.000
6 Cu 0.500 0.500 0.500
7 Tc 0.164 0.836 0.250
8 Tc 0.836 0.164 0.750



# 20
AlNi2Pd | GGA-PBE | optimized geometry

crystal system = cubic
raw total energy = -21.771 eV/cell
theoretical density = 8.30 g cm⁻³

Cell lengths 4.140, 4.140, 4.140 Å; angles 60.00, 60.00, 60.00 degrees
Element x y z (fractional)
1 Al 0.000 0.000 0.000
2 Ni 0.250 0.250 0.250
3 Ni 0.500 0.500 0.500
4 Pd 0.750 0.750 0.750